Compound: CsLi4Se4
Source: Alexandria
Functional: PBE
Structure: relaxed

Structure (extended XYZ):
```
18
Lattice="5.151 0.000 0.000 0.000 9.208 0.000 0.000 0.000 9.208" Properties=species:S:1:pos:R:3 pbc="T T T"
Se 3.134 7.775 3.023
Se 4.592 6.037 1.581
Se 4.592 3.171 7.627
Se 0.558 7.627 6.037
Se 2.017 3.023 1.433
Se 3.134 1.433 6.186
Se 2.017 6.186 7.775
Se 0.558 1.581 3.171
Cs 0.000 0.000 0.000
Cs 2.575 4.604 4.604
Li 4.621 5.793 7.912
Li 3.104 8.019 5.900
Li 2.046 3.308 8.019
Li 0.529 7.912 3.415
Li 4.621 3.415 1.296
Li 0.529 1.296 5.793
Li 3.104 1.189 3.308
Li 2.046 5.900 1.189
```

As for the space group: P4_2/n, No. 86. For the total moment, the calculation gives 0.0 μB per formula unit. As for the volume: 24.3 A^3/atom. For the uncorrected energy, the calculation gives -3.3829 eV per atom. Its uncorrected formation energy is -20.5 kcal/mol of atoms. The density of states at the Fermi level comes out at 8.1 states/eV per cell.